1.
The following is a GGA-PBEsol calculation of an optimized crystal structure of Zn2Ga2Hg, from Alexandria via LeMat-Bulk.

Values from the calculation:
Formation enthalpy at 0 K: 0.09 eV per atom
Energy above the lowest structure with this stoichiometry: 0.008 eV per atom

Lattice parameters (Å, degrees): 3.9219 3.9219 11.7382 90.00 90.00 90.00
With the nearest neighbours (Å) after each atom.
Space group I4/mmm (No. 139)
Inequivalent atoms, fractional coordinates:
1 Zn 0.0000 0.5000 0.2500 [4 per cell]  4 Ga 2.59, 4 Zn 2.77
2 Ga 0.0000 0.0000 0.1054 [4 per cell]  1 Ga 2.47, 4 Zn 2.59
3 Hg 0.0000 0.0000 0.5000 [2 per cell]  8 Ga 3.04

***

2.
The following is a GGA-PBEsol calculation of an optimized crystal structure of CuSCl, from Alexandria via LeMat-Bulk.

Values from the calculation:
Energy relative to the elements, uncorrected: -0.28 eV per atom

Lattice parameters (Å, degrees): 8.2345 10.8462 8.2505 90.00 96.94 90.00
With the nearest neighbours (Å) after each atom.
Space group P2_1/m (No. 11)
Inequivalent atoms, fractional coordinates:
1 Cu 0.0488 0.1094 0.1290 [4 per cell]  2 S 2.27-2.36, 3 Cl 2.30-2.48
2 Cu 0.2748 0.2500 0.8989 [2 per cell]  2 S 2.29, 3 Cl 2.33-2.42
3 Cu 0.3711 0.1095 0.4514 [4 per cell]  2 S 2.27-2.36, 3 Cl 2.30-2.48
4 Cu 0.3978 0.7500 0.7730 [2 per cell]  2 S 2.29, 3 Cl 2.33-2.42
5 S 0.0907 0.1596 0.4090 [4 per cell]  1 S 1.96
6 S 0.3035 0.0319 0.1972 [4 per cell]  1 S 2.02
7 S 0.4484 0.1189 0.0532 [4 per cell]  1 S 2.02
8 Cl 0.0770 0.0964 0.8460 [4 per cell]  3 Cu 2.33-2.48
9 Cl 0.1598 0.7500 0.9197 [2 per cell]  3 Cu 2.30-2.42
10 Cl 0.3450 0.5965 0.5757 [4 per cell]  3 Cu 2.33-2.48
11 Cl 0.4195 0.2500 0.6600 [2 per cell]  3 Cu 2.30-2.42

***

3.
The following is a GGA-PBEsol calculation of an optimized crystal structure of LiZrPb2, from Alexandria via LeMat-Bulk.

Values from the calculation:
Formation enthalpy at 0 K: -0.21 eV per atom

Lattice parameters (Å, degrees): 11.2425 3.2940 5.1518 90.00 105.14 90.00
With the nearest neighbours (Å) after each atom.
Space group Cm (No. 8)
Inequivalent atoms, fractional coordinates:
1 Li 0.0000 0.0000 0.0000 [2 per cell]  7 Pb 2.96-3.17, 2 Li 3.29
2 Zr 0.2639 0.5000 0.4120 [2 per cell]  7 Pb 3.05-3.09, 2 Zr 3.29
3 Pb 0.0023 0.5000 0.4798 [2 per cell]  4 Li 2.96-3.15, 3 Zr 3.05-3.09, 2 Pb 3.29
4 Pb 0.2509 0.0000 0.9046 [2 per cell]  3 Li 2.99-3.17, 4 Zr 3.06, 2 Pb 3.29

***

4.
The following is a GGA-PBEsol calculation of an optimized crystal structure of FeRe2Au, from Alexandria via LeMat-Bulk.

Values from the calculation:
Formation enthalpy at 0 K: 0.33 eV per atom
Energy above the lowest structure with this stoichiometry: 0.000 eV per atom

Lattice parameters (Å, degrees): 3.1665 3.1665 5.7616 90.00 90.00 90.00
With the nearest neighbours (Å) after each atom.
Space group P4mm (No. 99)
Inequivalent atoms, fractional coordinates:
1 Fe 0.0000 0.0000 0.0000 [1 per cell]  5 Re 2.61-2.67, 4 Au 2.64
2 Re 0.0000 0.0000 0.4634 [1 per cell]  4 Re 2.61, 1 Fe 2.67, 4 Au 2.81
3 Re 0.5000 0.5000 0.2322 [1 per cell]  4 Re 2.61, 4 Fe 2.61, 1 Au 2.73
4 Au 0.5000 0.5000 0.7578 [1 per cell]  4 Fe 2.64, 5 Re 2.73-2.81

***

5.
The following is a GGA-PBEsol calculation of an optimized crystal structure of YGeAuCl2, from Alexandria via LeMat-Bulk.

Values from the calculation:
Energy relative to the elements, uncorrected: -0.44 eV per atom

Lattice parameters (Å, degrees): 4.9603 4.9603 6.1303 90.00 90.00 90.00
With the nearest neighbours (Å) after each atom.
Space group P4/mmm (No. 123)
Inequivalent atoms, fractional coordinates:
1 Y 0.0000 0.0000 0.0000 [1 per cell]  4 Cl 2.48
2 Ge 0.0000 0.0000 0.5000 [1 per cell]  2 Y 3.07
3 Au 0.5000 0.5000 0.5000 [1 per cell]  4 Ge 3.51
4 Cl 0.0000 0.5000 0.0000 [2 per cell]  2 Y 2.48

***

6.
The following is a GGA-PBEsol calculation of an optimized crystal structure of PbSe2O5, from Alexandria via LeMat-Bulk.

Values from the calculation:
Energy relative to the elements, uncorrected: -0.92 eV per atom

Lattice parameters (Å, degrees): 4.4799 9.4447 12.4104 90.00 110.85 90.00
With the nearest neighbours (Å) after each atom.
Space group P2_1/c (No. 14)
Inequivalent atoms, fractional coordinates:
1 Pb 0.1435 0.0421 0.3470 [4 per cell]  5 O 2.48-2.69
2 Se 0.3073 0.6429 0.5786 [4 per cell]  3 O 1.68-1.87
3 Se 0.3238 0.2470 0.1161 [4 per cell]  3 O 1.69-1.88
4 O 0.0007 0.2344 0.6544 [4 per cell]  1 Se 1.69
5 O 0.1379 0.1524 0.9744 [4 per cell]  2 Se 1.87-1.88
6 O 0.3454 0.0894 0.5577 [4 per cell]  1 Se 1.72
7 O 0.3605 0.5355 0.6923 [4 per cell]  1 Se 1.68
8 O 0.3853 0.6937 0.1383 [4 per cell]  1 Se 1.69

***

7.
The following is a GGA-PBEsol calculation of an optimized crystal structure of YB2Cl, from Alexandria via LeMat-Bulk.

Values from the calculation:
Energy relative to the elements, uncorrected: 1.14 eV per atom

Lattice parameters (Å, degrees): 6.2707 6.2707 6.2707 90.00 90.00 90.00
With the nearest neighbours (Å) after each atom.
Space group Fm-3m (No. 225)
Inequivalent atoms, fractional coordinates:
1 Y 0.0000 0.0000 0.0000 [4 per cell]  8 B 2.72
2 B 0.2500 0.2500 0.2500 [8 per cell]  4 Cl 2.72, 4 Y 2.72
3 Cl 0.0000 0.0000 0.5000 [4 per cell]  8 B 2.72

***

8.
The following is a GGA-PBEsol calculation of an optimized crystal structure of BeCrRh2, from Alexandria via LeMat-Bulk.

Values from the calculation:
Formation enthalpy at 0 K: -0.15 eV per atom

Lattice parameters (Å, degrees): 3.4749 3.4749 7.8808 90.00 90.00 90.00
With the nearest neighbours (Å) after each atom.
Space group I-4m2 (No. 119)
Inequivalent atoms, fractional coordinates:
1 Be 0.0000 0.0000 0.0000 [2 per cell]  8 Rh 2.46-2.63, 4 Cr 2.63
2 Cr 0.0000 0.5000 0.2500 [2 per cell]  8 Rh 2.46-2.63, 4 Be 2.63
3 Rh 0.0000 0.0000 0.5000 [2 per cell]  4 Be 2.46, 4 Cr 2.63, 4 Rh 2.63
4 Rh 0.0000 0.5000 0.7500 [2 per cell]  4 Cr 2.46, 4 Be 2.63, 4 Rh 2.63

***

9.
The following is a GGA-PBEsol calculation of an optimized crystal structure of KPd3Cl, from Alexandria via LeMat-Bulk.

Values from the calculation:
Energy relative to the elements, uncorrected: 0.18 eV per atom

Lattice parameters (Å, degrees): 4.6239 4.6239 4.6239 90.00 90.00 90.00
With the nearest neighbours (Å) after each atom.
Space group Pm-3m (No. 221)
Inequivalent atoms, fractional coordinates:
1 K 0.0000 0.0000 0.0000 [1 per cell]  12 Pd 3.27
2 Pd 0.0000 0.5000 0.5000 [3 per cell]  2 Cl 2.31
3 Cl 0.5000 0.5000 0.5000 [1 per cell]  6 Pd 2.31

***

10.
The following is a GGA-PBEsol calculation of an optimized crystal structure of Tb2S3, from Alexandria via LeMat-Bulk.

Values from the calculation:
Energy relative to the elements, uncorrected: -2.14 eV per atom

Lattice parameters (Å, degrees): 8.2104 8.2104 24.5991 90.00 90.00 90.00
With the nearest neighbours (Å) after each atom.
Space group I-42d (No. 122)
Inequivalent atoms, fractional coordinates:
1 Tb 0.0000 0.0000 0.1661 [8 per cell]  8 S 2.74-2.91
2 Tb 0.1189 0.2500 0.6250 [8 per cell]  8 S 2.75-2.98
3 Tb 0.1361 0.2421 0.2894 [16 per cell]  7 S 2.71-2.92
4 S 0.0715 0.1756 0.0668 [16 per cell]  6 Tb 2.75-3.06
5 S 0.0733 0.1805 0.3957 [16 per cell]  5 Tb 2.71-2.92
6 S 0.0797 0.1724 0.7339 [16 per cell]  5 Tb 2.72-2.92

***

11.
The following is a GGA-PBEsol calculation of an optimized crystal structure of HgOs3I, from Alexandria via LeMat-Bulk.

Values from the calculation:
Energy relative to the elements, uncorrected: 2.80 eV per atom

Lattice parameters (Å, degrees): 4.7586 4.7586 4.7586 90.00 90.00 90.00
With the nearest neighbours (Å) after each atom.
Space group Pm-3m (No. 221)
Inequivalent atoms, fractional coordinates:
1 Hg 0.0000 0.0000 0.0000 [1 per cell]  12 Os 3.36
2 Os 0.0000 0.5000 0.5000 [3 per cell]  2 I 2.38
3 I 0.5000 0.5000 0.5000 [1 per cell]  6 Os 2.38

***

12.
The following is a GGA-PBEsol calculation of an optimized crystal structure of Ca2BeAl, from Alexandria via LeMat-Bulk.

Values from the calculation:
Formation enthalpy at 0 K: 0.01 eV per atom
Energy above the lowest structure with this stoichiometry: 0.000 eV per atom

Lattice parameters (Å, degrees): 4.1848 4.1848 21.6481 90.00 90.00 120.00
With the nearest neighbours (Å) after each atom.
Space group R3m (No. 160, hexagonal axes)
Inequivalent atoms, fractional coordinates:
1 Ca 0.0000 0.0000 0.0000 [3 per cell]  3 Al 3.09, 3 Be 3.10
2 Ca 0.0000 0.0000 0.1790 [3 per cell]  3 Be 3.09, 3 Al 3.10
3 Be 0.0000 0.0000 0.7567 [3 per cell]  3 Al 2.42
4 Al 0.0000 0.0000 0.4225 [3 per cell]  3 Be 2.42